Density functional theory data (PBE-GGA) for a relaxed structure of Al2CdCu.

The space group is Cmmm (No. 65) and the conventional cell measures 2.7455, 5.4020 and 9.4983 Å, with angles of 90.00, 90.00 and 90.00 degrees. Symmetry generates all atoms from Al at (0.0000, 0.0000, 0.2218), Cd at (0.0000, 0.5000, 0.5000) and Cu at (0.0000, 0.5000, 0.0000).

For the density of states at the Fermi level, the calculation gives 1.1 states/eV/f.u. The formation enthalpy at 0 K is 0.12 eV per atom. The value obtained for the total moment is 0.000 μB/cell.